AgS2I: relaxed, PBEsol.

Computed properties:
Electronic total energy ... -11.937 eV for the cell shown
Total moment ... 0.0 Bohr magnetons per cell
Raw formation energy ... 0.477 eV/atom
E above lowest polymorph ... 7.68 kcal/mol of atoms
Density of states at the Fermi level ... 0.423 states/eV/atom
Crystal system ... trigonal
V ... 98.6 Å³ per cell

Cell lengths 5.0487, 5.0487, 5.3342 Å; angles 61.75, 61.75, 60.00 degrees
Positions (direct):
I: 0.5000 0.5000 0.5000
S: 0.8290 0.8290 0.5131
S: 0.1710 0.1710 0.4869
Ag: 0.0000 0.0000 0.0000